TeAuI: relaxed, PBE.

Geometry as POSCAR:
```
TeAuI
1.0
4.5740 -0.0005 0.0020
0.0001 7.8924 0.0046
0.0048 -0.0034 6.2502
Te I Au
2 2 2
Cartesian
3.0071 1.4104 4.5529
0.7208 5.3574 3.3036
3.0031 2.1862 1.0713
0.7215 6.1331 0.5356
0.7201 7.8679 4.2693
3.0074 3.9221 3.5903
```

ΔE_f (raw) in eV per atom: -0.0079
Space group: P2_1, No. 4
Spin magnetization in μB per atom: 0.000
VASP energy in eV per cell: -16.0